Computed, not measured: Nb2AlAs after structural relaxation at the PBE-GGA level of DFT.

Calculated values
Crystal system   cubic
ΔE_f   -0.3 eV per formula unit
Density   7.1 g/cm³
Symmetry   Fm-3m, No. 225

Lattice parameters (Å, degrees): 4.576 4.576 4.576 60.00 60.00 60.00
Atoms (fractional coordinates):
1 Nb 0.750 0.750 0.750
2 Nb 0.250 0.250 0.250
3 Al 0.000 0.000 0.000
4 As 0.500 0.500 0.500

=====

Computed, not measured: Ca2Sn2Pd5Pt after structural relaxation at the PBE-GGA level of DFT.

Calculated values
Crystal system   tetragonal
ΔE_f   -5.2 eV per formula unit
Density   8.8 g/cm³
Symmetry   P4/mbm, No. 127

Lattice parameters (Å, degrees): 3.696 10.354 10.354 90.00 90.00 90.00
Atoms (fractional coordinates):
1 Ca 0.000 0.829 0.671
2 Ca 0.000 0.671 0.171
3 Ca 0.000 0.329 0.829
4 Ca 0.000 0.171 0.329
5 Sn 0.000 0.631 0.869
6 Sn 0.000 0.869 0.369
7 Sn 0.000 0.369 0.131
8 Sn 0.000 0.131 0.631
9 Pd 0.500 0.000 0.500
10 Pd 0.500 0.500 0.000
11 Pd 0.500 0.943 0.193
12 Pd 0.500 0.693 0.443
13 Pd 0.500 0.807 0.943
14 Pd 0.500 0.557 0.693
15 Pd 0.500 0.193 0.057
16 Pd 0.500 0.307 0.557
17 Pd 0.500 0.443 0.307
18 Pd 0.500 0.057 0.807
19 Pt 0.000 0.000 0.000
20 Pt 0.000 0.500 0.500

=====

Computed, not measured: Y2FeSI after structural relaxation at the PBE-GGA level of DFT.

Calculated values
Crystal system   tetragonal
Density   3.9 g/cm³
Symmetry   P4/mmm, No. 123
Formation energy without anion corrections   0.86 eV/atom

Lattice parameters (Å, degrees): 5.653 5.237 5.653 90.00 90.00 90.00
Atoms (fractional coordinates):
1 S 0.000 0.500 0.000
2 Y 0.500 0.000 0.000
3 Y 0.000 0.000 0.500
4 Fe 0.500 0.500 0.500
5 I 0.000 0.000 0.000

=====

Computed, not measured: Sr2SnGe after structural relaxation at the PBE-GGA level of DFT.

Calculated values
Crystal system   tetragonal
ΔE_f   -1.9 eV per formula unit
Density   5.1 g/cm³
Symmetry   P4/mmm, No. 123

Lattice parameters (Å, degrees): 4.678 5.071 5.071 90.00 90.00 90.00
Atoms (fractional coordinates):
1 Ge 0.500 0.000 0.000
2 Sr 0.000 0.000 0.500
3 Sr 0.000 0.500 0.000
4 Sn 0.500 0.500 0.500

=====

Computed, not measured: BeCuPdF2 after structural relaxation at the PBE-GGA level of DFT.

Calculated values
Crystal system   tetragonal
Density   4.8 g/cm³
Symmetry   P4/mmm, No. 123
Formation energy without anion corrections   -0.49 eV/atom

Lattice parameters (Å, degrees): 3.633 5.694 3.633 90.00 90.00 90.00
Atoms (fractional coordinates):
1 Be 0.500 0.500 0.500
2 F 0.500 0.000 0.000
3 F 0.000 0.000 0.500
4 Pd 0.000 0.500 0.000
5 Cu 0.000 0.000 0.000

=====

Computed, not measured: EuThSi2 after structural relaxation at the PBE-GGA level of DFT.

Calculated values
Crystal system   trigonal
Density   6.5 g/cm³
Symmetry   R-3m, No. 166
Formation energy without anion corrections   -0.31 eV/atom

Lattice parameters (Å, degrees): 4.309 4.309 7.402 73.08 73.08 60.00
Atoms (fractional coordinates):
1 Si 0.755 0.755 0.736
2 Si 0.245 0.245 0.264
3 Th 0.500 0.500 0.500
4 Eu 0.000 0.000 0.000

=====

Computed, not measured: LaErGa2Au4 after structural relaxation at the PBE-GGA level of DFT.

Calculated values
Crystal system   trigonal
ΔE_f   -5.3 eV per formula unit
Density   12.0 g/cm³
Symmetry   R-3m, No. 166

Lattice parameters (Å, degrees): 4.727 4.727 9.262 75.21 75.21 60.00
Atoms (fractional coordinates):
1 La 0.000 0.000 0.000
2 Ga 0.243 0.243 0.270
3 Ga 0.757 0.757 0.730
4 Er 0.500 0.500 0.500
5 Au 0.877 0.877 0.370
6 Au 0.123 0.123 0.630
7 Au 0.390 0.390 0.829
8 Au 0.610 0.610 0.171

=====

Computed, not measured: SrLiCd2 after structural relaxation at the PBE-GGA level of DFT.

Calculated values
Crystal system   cubic
ΔE_f   -0.8 eV per formula unit
Density   4.8 g/cm³
Symmetry   Fm-3m, No. 225

Lattice parameters (Å, degrees): 5.386 5.386 5.386 60.00 60.00 60.00
Atoms (fractional coordinates):
1 Li 0.000 0.000 0.000
2 Sr 0.500 0.500 0.500
3 Cd 0.250 0.250 0.250
4 Cd 0.750 0.750 0.750

=====

Computed, not measured: BaHoAl4 after structural relaxation at the PBE-GGA level of DFT.

Calculated values
Crystal system   cubic
ΔE_f   -1.5 eV per formula unit
Density   5.0 g/cm³
Symmetry   F-43m, No. 216

Lattice parameters (Å, degrees): 5.780 5.780 5.780 60.00 60.00 60.00
Atoms (fractional coordinates):
1 Al 0.626 0.626 0.123
2 Al 0.123 0.626 0.626
3 Al 0.626 0.626 0.626
4 Al 0.626 0.123 0.626
5 Ba 0.250 0.250 0.250
6 Ho 0.000 0.000 0.000

=====

Computed, not measured: TbBe2B6 after structural relaxation at the PBE-GGA level of DFT.

Calculated values
Crystal system   orthorhombic
ΔE_f   -1.9 eV per formula unit
Density   5.1 g/cm³
Symmetry   Immm, No. 71

Lattice parameters (Å, degrees): 3.069 6.340 5.343 126.39 106.69 90.00
Atoms (fractional coordinates):
1 B 0.699 0.440 0.399
2 B 0.500 0.138 0.000
3 B 0.500 0.862 0.000
4 B 0.301 0.042 0.601
5 B 0.699 0.958 0.399
6 B 0.301 0.560 0.601
7 Be 0.150 0.150 0.300
8 Be 0.850 0.850 0.700
9 Tb 0.000 0.500 0.000

=====

Computed, not measured: LaCoRh2 after structural relaxation at the PBE-GGA level of DFT.

Calculated values
Crystal system   monoclinic
ΔE_f   0.0 eV per formula unit
Density   9.5 g/cm³
Symmetry   P2/m, No. 10

Lattice parameters (Å, degrees): 4.341 3.078 5.401 76.81 90.00 90.00
Atoms (fractional coordinates):
1 La 0.500 0.750 0.750
2 Rh 0.000 0.415 0.461
3 Rh 0.000 0.085 0.039
4 Co 0.500 0.250 0.250

=====

Computed, not measured: TbNd2Te5Au after structural relaxation at the PBE-GGA level of DFT.

Calculated values
Crystal system   orthorhombic
Density   7.7 g/cm³
Symmetry   Cmc2_1, No. 36
Formation energy without anion corrections   -1.19 eV/atom

Lattice parameters (Å, degrees): 4.361 9.799 13.263 90.00 90.00 102.86
Atoms (fractional coordinates):
1 Te 0.499 0.999 0.779
2 Te 0.501 0.001 0.279
3 Te 0.354 0.708 0.999
4 Te 0.712 0.424 0.171
5 Te 0.306 0.613 0.338
6 Te 0.039 0.078 0.076
7 Te 0.961 0.922 0.576
8 Te 0.694 0.387 0.838
9 Te 0.288 0.576 0.671
10 Te 0.646 0.292 0.499
11 Nd 0.875 0.751 0.807
12 Nd 0.887 0.773 0.187
13 Nd 0.113 0.227 0.687
14 Nd 0.125 0.249 0.307
15 Tb 0.811 0.623 0.508
16 Tb 0.189 0.377 0.008
17 Au 0.427 0.855 0.460
18 Au 0.573 0.145 0.960

=====

Question: Among the records above, which one has the highest density?
Answer: LaErGa2Au4

=====

Question: What is the formula in the eighth record?
Answer: SrLiCd2